DFT (PBE) results for an optimized crystal structure of Tm5Fe2Pd.

Properties
* energy of formation from the pure elements: -0.2965 eV per atom
* theoretical density: 9.89 g/cm3
* DOS at the Fermi energy: 31.2 states/eV/cell

a = 7.089 Å, b = 7.089 Å, c = 14.209 Å
α = 90.00°, β = 90.00°, γ = 90.00°
Space group I4/mcm (No. 140)
Asymmetric unit:
1 Tm 0.000 0.000 0.000 x4
2 Tm 0.175 0.325 0.141 x16
3 Fe 0.109 0.391 0.500 x8
4 Pd 0.000 0.000 0.250 x4